This record from Alexandria describes an optimized crystal structure of Rb8H3BrCl4. The functional is PBE.

Computed properties:
**Calculated volume**: 1693.3 Å³/cell
**DFT total energy**: -2.9130 eV/atom
**Theoretical density**: 2.7 g/cm³

a b c (Å): 9.2755 9.2755 22.7259
angles (deg): 90.00 90.00 120.00
With the nearest neighbours (Å) after each atom.
Space group R-3m (No. 166, hexagonal axes)
One atom of each set of equivalent atoms:
Rb  0.0000  0.0000  0.2449 (multiplicity 6)  3 H 3.21, 3 Cl 3.35
Rb  0.0138  0.5069  0.7530 (multiplicity 18)  2 H 3.20, 3 Cl 3.23-3.37, 1 Br 3.33
H  0.0000  0.5000  0.5000 (multiplicity 9)  6 Rb 3.20-3.21
Br  0.0000  0.0000  0.5000 (multiplicity 3)  6 Rb 3.33
Cl  0.0000  0.0000  0.0000 (multiplicity 3)  6 Rb 3.23
Cl  0.0000  0.5000  0.0000 (multiplicity 9)  6 Rb 3.35-3.37

---

This record from Alexandria describes an optimized crystal structure of MoC. The functional is PBE.

Computed properties:
**Calculated volume**: 189.1 Å³/cell
**DFT total energy**: -9.5029 eV/atom
**Offset from the most stable computed form**: 0.618 eV per atom
**Formation energy from the elements**: 525 meV per atom
**Theoretical density**: 5.7 g/cm³

a b c (Å): 5.7398 5.7398 5.7398
angles (deg): 90.00 90.00 90.00
With the nearest neighbours (Å) after each atom.
Space group Pm-3n (No. 223)
One atom of each set of equivalent atoms:
Mo  0.0000  0.2500  0.5000 (multiplicity 6)  4 C 2.03
C  0.0000  0.5000  0.2500 (multiplicity 6)  4 Mo 2.03

---

This record from Alexandria describes an optimized crystal structure of SmTlSnBr6. The functional is PBE.

Computed properties:
**Calculated volume**: 362.2 Å³/cell
**DFT total energy**: -3.6454 eV/atom
**Uncorrected formation energy**: -1.30 eV/atom
**Theoretical density**: 4.4 g/cm³

a b c (Å): 7.6290 7.6290 7.1867
angles (deg): 90.00 90.00 120.00
With the nearest neighbours (Å) after each atom.
Space group P312 (No. 149)
One atom of each set of equivalent atoms:
Sm  0.0000  0.0000  0.0000 (multiplicity 1)  6 Br 2.88
Tl  0.3333  0.6667  0.5000 (multiplicity 1)  6 Br 3.40
Sn  0.6667  0.3333  0.0000 (multiplicity 1)  6 Br 3.00
Br  0.3212  0.0257  0.2300 (multiplicity 6)  1 Sm 2.88, 1 Sn 3.00

---

This record from Alexandria describes an optimized crystal structure of TeC2I. The functional is PBE.

Computed properties:
**Calculated volume**: 320.4 Å³/cell
**DFT total energy**: -3.6044 eV/atom
**Offset from the most stable computed form**: 0.000 eV per atom
**Uncorrected formation energy**: 2.18 eV/atom
**Theoretical density**: 5.8 g/cm³

a b c (Å): 6.1530 6.1530 8.4619
angles (deg): 90.00 90.00 90.00
With the nearest neighbours (Å) after each atom.
Space group I-42d (No. 122)
One atom of each set of equivalent atoms:
Te  0.0000  0.0000  0.0000 (multiplicity 4)  4 C 2.27
C  0.2091  0.2500  0.1250 (multiplicity 8)  2 Te 2.27
I  0.0000  0.0000  0.5000 (multiplicity 4)  4 C 2.59

---

This record from Alexandria describes an optimized crystal structure of La3GePb. The functional is PBE.

Computed properties:
**Calculated volume**: 1236.5 Å³/cell
**DFT total energy**: -5.2209 eV/atom
**Offset from the most stable computed form**: 0.000 eV per atom
**Formation energy from the elements**: -599 meV per atom
**Theoretical density**: 7.5 g/cm³

a b c (Å): 7.6145 9.8313 16.5180
angles (deg): 90.00 90.00 90.00
With the nearest neighbours (Å) after each atom.
Space group Fmmm (No. 69)
One atom of each set of equivalent atoms:
La  0.0000  0.0000  0.1942 (multiplicity 8)  4 Ge 3.24, 2 La 3.33, 2 Pb 3.56
La  0.0000  0.1968  0.3953 (multiplicity 16)  2 Ge 3.11, 2 La 3.33-3.46, 2 Pb 3.44
Ge  0.2500  0.2500  0.2500 (multiplicity 8)  8 La 3.11-3.24
Pb  0.2032  0.0000  0.0000 (multiplicity 8)  1 Pb 3.10, 4 La 3.44

---

Which of these has the highest calculated volume? Rb8H3BrCl4